The following is a DFT calculation (PBE-GGA) of a relaxed structure of TmSnPd.

Summary:
Space group: R-3m, No. 166
Fermi-level density of states (states/eV/atom): 0.45
Energy relative to the elements (eV/atom): -0.64

Cell and atoms, written as CIF:
```
data_TmSnPd
_cell_length_a 5.018
_cell_length_b 5.018
_cell_length_c 7.160
_cell_angle_alpha 69.49
_cell_angle_beta 69.49
_cell_angle_gamma 60.00
_symmetry_space_group_name_H-M 'P 1'
_symmetry_Int_Tables_number 1
_symmetry_space_group_name_Hall 'P 1'
loop_
_atom_site_label
_atom_site_type_symbol
_atom_site_fract_x
_atom_site_fract_y
_atom_site_fract_z
_atom_site_occupancy
Pd1 Pd 0.243 0.243 0.270 1
Pd2 Pd 0.757 0.757 0.730 1
Sn1 Sn 0.095 0.095 0.715 1
Sn2 Sn 0.905 0.905 0.285 1
Tm1 Tm 0.384 0.384 0.848 1
Tm2 Tm 0.616 0.616 0.152 1
```